Entry 1:
Entry from the Alexandria database: a PBEsol-optimized structure of LiZrCo (SCAN).

a b c (Å): 3.2131 3.2131 8.7888
angles (deg): 90.00 90.00 90.00
Last column: nearest neighbours and their distance in Å.
Space group I4mm (No. 107)
Symmetry-distinct sites (fractional):
Li: 0.0000 0.0000 0.0000 [2 per cell]  5 Zr 2.62-2.89, 4 Co 2.68
Zr: 0.0000 0.0000 0.2976 [2 per cell]  4 Co 2.57, 1 Li 2.62
Co: 0.0000 0.0000 0.6613 [2 per cell]  4 Zr 2.57, 4 Li 2.68

Values from the calculation:
**D(E_F)**: 1.5 states/eV/f.u.
**Energy above the most stable polymorph in this dataset**: 0.0 kJ/mol of atoms
**Formation energy from the elements**: 0.07 eV/atom



Entry 2:
Entry from the Alexandria database: a PBEsol-optimized structure of PtRh2Au (SCAN).

a b c (Å): 2.7388 2.7388 7.8349
angles (deg): 90.00 90.00 90.00
Last column: nearest neighbours and their distance in Å.
Space group P4mm (No. 99)
Symmetry-distinct sites (fractional):
Pt: 0.0000 0.0000 0.0000 [1 per cell]  4 Rh 2.72, 4 Pt 2.74, 4 Au 2.88
Rh: 0.0000 0.0000 0.4660 [1 per cell]  8 Rh 2.61-2.74, 4 Au 2.83
Rh: 0.5000 0.5000 0.2429 [1 per cell]  8 Rh 2.61-2.74, 4 Pt 2.72
Au: 0.5000 0.5000 0.7288 [1 per cell]  4 Au 2.74, 4 Rh 2.83, 4 Pt 2.88

Values from the calculation:
**D(E_F)**: 3.9 states/eV/f.u.
**Energy above the most stable polymorph in this dataset**: 0.0 kJ/mol of atoms
**Formation energy from the elements**: 0.05 eV/atom



Entry 3:
Entry from the Alexandria database: a PBEsol-optimized structure of GaAsC2 (SCAN).

a b c (Å): 5.6189 5.6189 5.6189
angles (deg): 90.00 90.00 90.00
Last column: nearest neighbours and their distance in Å.
Space group Fm-3m (No. 225)
Symmetry-distinct sites (fractional):
Ga: 0.0000 0.0000 0.0000 [4 per cell]  8 C 2.43
As: 0.0000 0.0000 0.5000 [4 per cell]  8 C 2.43
C: 0.2500 0.2500 0.2500 [8 per cell]  4 As 2.43, 4 Ga 2.43

Values from the calculation:
**D(E_F)**: 1.7 states/eV/f.u.
**Formation energy from the elements**: 2.22 eV/atom



Entry 4:
Entry from the Alexandria database: a PBEsol-optimized structure of ZnAu3 (SCAN).

a b c (Å): 2.9019 2.9019 7.6442
angles (deg): 90.00 90.00 90.00
Last column: nearest neighbours and their distance in Å.
Space group P4/mmm (No. 123)
Symmetry-distinct sites (fractional):
Zn: 0.0000 0.0000 0.0000 [1 per cell]  8 Au 2.70, 4 Zn 2.90
Au: 0.0000 0.0000 0.5000 [1 per cell]  12 Au 2.90-2.91
Au: 0.5000 0.5000 0.2295 [2 per cell]  4 Zn 2.70, 8 Au 2.90-2.91

Values from the calculation:
**D(E_F)**: 1.1 states/eV/f.u.
**Formation energy from the elements**: -0.15 eV/atom



Entry 5:
Entry from the Alexandria database: a PBEsol-optimized structure of LiMgCr2 (SCAN).

a b c (Å): 3.3698 3.3698 4.5371
angles (deg): 90.00 90.00 90.00
Last column: nearest neighbours and their distance in Å.
Space group P4/mmm (No. 123)
Symmetry-distinct sites (fractional):
Li: 0.0000 0.0000 0.0000 [1 per cell]  4 Mg 2.38
Mg: 0.5000 0.5000 0.0000 [1 per cell]  4 Li 2.38
Cr: 0.0000 0.5000 0.5000 [2 per cell]  4 Cr 2.38

Values from the calculation:
**D(E_F)**: 2.4 states/eV/f.u.
**Formation energy from the elements**: 0.60 eV/atom



Entry 6:
Entry from the Alexandria database: a PBEsol-optimized structure of BaSrEuCu3O7 (SCAN).

a b c (Å): 3.7531 3.8666 11.4810
angles (deg): 90.00 90.00 90.00
Last column: nearest neighbours and their distance in Å.
Space group Pmm2 (No. 25)
Symmetry-distinct sites (fractional):
Ba: 0.0000 0.0000 0.0000 [1 per cell]  10 O 2.71-2.97
Sr: 0.0000 0.0000 0.3606 [1 per cell]  10 O 2.68-2.88
Eu: 0.0000 0.0000 0.6753 [1 per cell]  8 O 2.41-2.43
Cu: 0.5000 0.5000 0.1829 [1 per cell]  4 O 1.84-1.94
Cu: 0.5000 0.5000 0.5225 [1 per cell]  5 O 1.90-2.06
Cu: 0.5000 0.5000 0.8292 [1 per cell]  4 O 1.90-1.95
O: 0.0000 0.5000 0.5468 [1 per cell]  2 Cu 1.90
O: 0.0000 0.5000 0.8033 [1 per cell]  2 Cu 1.90
O: 0.5000 0.0000 0.1934 [1 per cell]  2 Cu 1.94
O: 0.5000 0.0000 0.5421 [1 per cell]  2 Cu 1.95
O: 0.5000 0.0000 0.8064 [1 per cell]  2 Cu 1.95
O: 0.5000 0.5000 0.0215 [1 per cell]  1 Cu 1.85
O: 0.5000 0.5000 0.3434 [1 per cell]  2 Cu 1.84-2.06

Values from the calculation:
**D(E_F)**: 3.9 states/eV/f.u.
**ΔE_f (raw)**: -1.926 eV per atom



Entry 7:
Entry from the Alexandria database: a PBEsol-optimized structure of Co3Ir2 (SCAN).

a b c (Å): 2.6079 2.6079 30.6473
angles (deg): 90.00 90.00 120.00
Last column: nearest neighbours and their distance in Å.
Space group R-3m (No. 166, hexagonal axes)
Symmetry-distinct sites (fractional):
Co: 0.0000 0.0000 0.0000 [3 per cell]  6 Ir 2.55, 6 Co 2.61
Co: 0.0000 0.0000 0.1976 [6 per cell]  9 Co 2.42-2.61, 3 Ir 2.59
Ir: 0.0000 0.0000 0.4005 [6 per cell]  6 Co 2.55-2.59, 6 Ir 2.61

Values from the calculation:
**D(E_F)**: 5.1 states/eV/f.u.
**Formation energy from the elements**: 0.06 eV/atom



Entry 8:
Entry from the Alexandria database: a PBEsol-optimized structure of CdC3Se (SCAN).

a b c (Å): 3.9392 3.9392 3.9392
angles (deg): 90.00 90.00 90.00
Last column: nearest neighbours and their distance in Å.
Space group Pm-3m (No. 221)
Symmetry-distinct sites (fractional):
Cd: 0.0000 0.0000 0.0000 [1 per cell]  12 C 2.79
C: 0.0000 0.5000 0.5000 [3 per cell]  2 Se 1.97
Se: 0.5000 0.5000 0.5000 [1 per cell]  6 C 1.97

Values from the calculation:
**D(E_F)**: 2.8 states/eV/f.u.
**ΔE_f (raw)**: 2.857 eV per atom



Entry 9:
Entry from the Alexandria database: a PBEsol-optimized structure of InSb2Pt (SCAN).

a b c (Å): 5.6850 5.6850 5.8225
angles (deg): 90.00 90.00 90.00
Last column: nearest neighbours and their distance in Å.
Space group I4/mmm (No. 139)
Symmetry-distinct sites (fractional):
In: 0.0000 0.0000 0.0000 [2 per cell]  4 Sb 2.84, 2 Pt 2.91
Sb: 0.0000 0.5000 0.0000 [4 per cell]  2 In 2.84, 2 Pt 2.84, 2 Sb 2.91
Pt: 0.0000 0.0000 0.5000 [2 per cell]  4 Sb 2.84, 2 In 2.91

Values from the calculation:
**D(E_F)**: 1.8 states/eV/f.u.
**ΔE_f (raw)**: -0.039 eV per atom



Entry 10:
Entry from the Alexandria database: a PBEsol-optimized structure of Co6SiIr (SCAN).

a b c (Å): 6.9666 9.8705 9.8738
angles (deg): 90.00 90.00 90.00
Last column: nearest neighbours and their distance in Å.
Space group Cmmm (No. 65)
Symmetry-distinct sites (fractional):
Co: 0.0000 0.0000 0.0000 [2 per cell]  4 Si 2.41-2.50, 8 Co 2.44
Co: 0.0000 0.0000 0.5000 [2 per cell]  8 Co 2.46, 2 Ir 2.49, 2 Si 2.53
Co: 0.0000 0.2489 0.2468 [8 per cell]  8 Co 2.44-2.49, 2 Si 2.44-2.46, 2 Ir 2.48-2.50
Co: 0.0000 0.5000 0.0000 [2 per cell]  2 Si 2.44, 2 Ir 2.46, 8 Co 2.46
Co: 0.0000 0.5000 0.5000 [2 per cell]  4 Ir 2.45-2.48, 8 Co 2.50
Co: 0.2456 0.1241 0.3706 [16 per cell]  8 Co 2.44-2.56, 1 Si 2.45, 3 Ir 2.47-2.50
Co: 0.2479 0.1253 0.1223 [16 per cell]  8 Co 2.42-2.48, 3 Si 2.44-2.46, 1 Ir 2.48
Si: 0.0000 0.0000 0.2439 [4 per cell]  12 Co 2.41-2.53
Si: 0.0000 0.2530 0.0000 [4 per cell]  12 Co 2.44-2.50
Ir: 0.0000 0.2522 0.5000 [4 per cell]  12 Co 2.45-2.50
Ir: 0.0000 0.5000 0.2487 [4 per cell]  12 Co 2.46-2.48

Values from the calculation:
**D(E_F)**: 7.1 states/eV/f.u.
**ΔE_f (raw)**: -0.033 eV per atom



Entry 11:
Entry from the Alexandria database: a PBEsol-optimized structure of Er4Ni13C4 (SCAN).

a b c (Å): 11.5201 11.7800 3.7784
angles (deg): 90.00 90.00 90.00
Last column: nearest neighbours and their distance in Å.
Space group Cmmm (No. 65)
Symmetry-distinct sites (fractional):
Er: 0.0000 0.1873 0.0000 [4 per cell]  8 Ni 2.62-2.91
Er: 0.1515 0.5000 0.0000 [4 per cell]  5 Ni 2.59-2.87, 4 C 2.66
Ni: 0.0000 0.0000 0.5000 [2 per cell]  8 Ni 2.36-2.46
Ni: 0.1072 0.3222 0.5000 [8 per cell]  2 C 1.85-1.88
Ni: 0.1233 0.0000 0.0000 [4 per cell]  6 Ni 2.36-2.38, 3 Er 2.59-2.62
Ni: 0.1826 0.1078 0.5000 [8 per cell]  1 C 1.85
Ni: 0.2500 0.2500 0.0000 [4 per cell]  2 C 1.89
C: 0.0000 0.4422 0.5000 [4 per cell]  1 C 1.36
C: 0.2500 0.2500 0.5000 [4 per cell]  6 Ni 1.85-1.89

Values from the calculation:
**D(E_F)**: 9.4 states/eV/f.u.
**Formation energy from the elements**: -0.37 eV/atom



Entry 12:
Entry from the Alexandria database: a PBEsol-optimized structure of FeRuNF2 (SCAN).

a b c (Å): 3.9106 3.9106 3.5494
angles (deg): 90.00 90.00 90.00
Last column: nearest neighbours and their distance in Å.
Space group P4/mmm (No. 123)
Symmetry-distinct sites (fractional):
Fe: 0.0000 0.0000 0.0000 [1 per cell]  2 N 1.77, 4 F 1.96
Ru: 0.5000 0.5000 0.5000 [1 per cell]  8 F 2.64, 4 N 2.77
N: 0.0000 0.0000 0.5000 [1 per cell]  2 Fe 1.77
F: 0.0000 0.5000 0.0000 [2 per cell]  2 Fe 1.96

Values from the calculation:
**D(E_F)**: 3.1 states/eV/f.u.
**ΔE_f (raw)**: -0.146 eV per atom